1.
First-principles (PBE) data for a relaxed PmCu3Ni8 crystal, as listed in Alexandria.

extended XYZ file:
```
12
Lattice="-0.622 -3.806 -2.816 3.058 -0.213 3.661 -5.796 -2.525 4.694" Properties=species:S:1:pos:R:3 pbc="T T T"
Ni -3.547 -5.827 2.624
Ni -3.241 -3.959 4.006
Ni -1.059 -2.670 3.844
Ni -0.496 -1.309 1.880
Ni 1.049 -1.417 3.729
Ni 1.821 -1.415 1.511
Ni -4.742 -3.854 2.209
Ni 0.734 -3.339 2.307
Cu -5.565 -2.425 4.507
Cu -1.627 -3.581 1.151
Cu 0.267 -2.756 -0.383
Pm -3.291 -1.434 2.666
```

Summary:
The value obtained for the density of states at the Fermi level is 11.42 states/eV/cell. Its raw total energy is -63.36 eV per cell.

2.
First-principles (PBE) data for a relaxed PmCu2Ni2 crystal, as listed in Alexandria.

extended XYZ file:
```
10
Lattice="-0.928 -3.801 -0.377 1.353 -0.690 3.625 -9.509 4.136 2.205" Properties=species:S:1:pos:R:3 pbc="T T T"
Pm -6.947 1.413 2.861
Pm -2.137 -1.767 2.592
Ni -5.112 -0.955 1.726
Ni -1.252 0.255 0.516
Ni -7.832 -0.609 4.937
Ni -3.972 0.601 3.727
Cu -3.392 0.690 1.397
Cu -0.464 -1.900 -0.188
Cu 0.676 -0.345 1.813
Cu -5.692 -1.044 4.056
```

Summary:
The value obtained for the density of states at the Fermi level is 6.16 states/eV/cell. Its raw total energy is -50.64 eV per cell.

3.
First-principles (PBE) data for a relaxed PmCu4Ni8 crystal, as listed in Alexandria.

extended XYZ file:
```
13
Lattice="-0.652 -3.677 2.884 0.337 -5.532 -3.117 5.485 -2.063 2.468" Properties=species:S:1:pos:R:3 pbc="T T T"
Ni 3.638 -3.307 0.465
Ni 1.183 -6.581 -0.402
Ni 3.986 -4.692 2.638
Ni 3.500 -6.190 0.618
Ni 1.670 -5.082 1.617
Ni 4.021 -8.542 1.598
Ni 2.183 -4.288 -1.114
Ni 1.149 -2.731 0.638
Cu 2.417 -2.870 2.676
Cu -0.158 -4.605 -0.116
Cu 0.168 -2.766 -1.558
Cu 2.742 -1.032 1.234
Pm 0.000 0.000 0.000
```

Summary:
The value obtained for the density of states at the Fermi level is 19.69 states/eV/cell. Its raw total energy is -68.07 eV per cell.

4.
First-principles (PBE) data for a relaxed Pm4CuNi crystal, as listed in Alexandria.

extended XYZ file:
```
6
Lattice="-2.058 2.554 -2.084 1.413 -2.994 -5.064 -5.846 -4.036 0.827" Properties=species:S:1:pos:R:3 pbc="T T T"
Pm -1.295 -2.674 -2.007
Pm -4.819 -1.845 -1.136
Pm -3.795 -5.167 -2.591
Pm -0.766 -2.275 -5.665
Cu -0.645 -0.079 -3.088
Ni -1.409 -4.584 -4.238
```

Summary:
The value obtained for the density of states at the Fermi level is 6.69 states/eV/cell. Its raw total energy is -29.23 eV per cell.

5.
First-principles (PBE) data for a relaxed Pm8CuNi2 crystal, as listed in Alexandria.

extended XYZ file:
```
11
Lattice="5.155 0.000 0.000 0.000 6.726 0.005 -2.578 -2.894 8.585" Properties=species:S:1:pos:R:3 pbc="T T T"
Pm 0.000 4.827 5.545
Pm 2.578 -1.297 8.025
Pm 2.578 -0.995 3.045
Pm 2.578 2.648 5.175
Pm 0.000 1.204 6.995
Pm 2.578 2.628 1.594
Pm 0.000 5.129 0.565
Pm 0.000 1.184 3.414
Cu 2.578 0.000 0.000
Ni 0.000 3.949 2.956
Ni 2.578 -0.117 5.634
```

Summary:
The calculation puts the relative energy among the computed polymorphs at 0.00 eV/f.u. The value obtained for the density of states at the Fermi level is 10.58 states/eV/cell. Its raw total energy is -55.06 eV per cell.

6.
First-principles (PBE) data for a relaxed PmCu9Ni2 crystal, as listed in Alexandria.

extended XYZ file:
```
12
Lattice="-2.274 0.667 4.303 -3.122 -3.400 1.681 4.119 -4.521 5.681" Properties=species:S:1:pos:R:3 pbc="T T T"
Ni -2.730 -4.360 7.645
Ni 1.453 -2.895 4.021
Cu -1.113 -2.312 3.946
Cu -2.274 -1.972 6.144
Cu -0.638 -3.627 5.833
Cu -0.164 -4.943 7.719
Cu 2.305 -5.423 7.666
Cu 1.430 -3.206 6.861
Cu -3.581 -1.832 4.000
Cu 0.997 -5.283 5.522
Cu -2.707 -4.049 4.805
Pm 0.000 0.000 0.000
```

Summary:
The value obtained for the density of states at the Fermi level is 7.03 states/eV/cell. Its raw total energy is -52.89 eV per cell.

7.
First-principles (PBE) data for a relaxed Pm3Cu2Ni3 crystal, as listed in Alexandria.

extended XYZ file:
```
32
Lattice="5.502 0.000 0.000 0.000 7.351 0.000 0.000 0.000 15.088" Properties=species:S:1:pos:R:3 pbc="T T T"
Pm 0.642 1.249 11.316
Pm 4.742 3.911 9.090
Pm 3.511 0.236 13.542
Pm 3.511 0.236 9.090
Pm 4.860 6.102 3.772
Pm 0.760 3.440 1.546
Pm 2.109 4.924 11.316
Pm 1.991 7.115 5.998
Pm 0.760 3.440 5.998
Pm 3.393 2.427 3.772
Pm 4.742 3.911 13.542
Pm 1.991 7.115 1.546
Ni 3.226 2.404 0.493
Ni 5.027 6.080 0.493
Ni 2.140 5.039 3.772
Ni 5.027 6.080 7.051
Ni 3.226 2.404 7.051
Ni 0.475 1.271 14.595
Ni 0.475 1.271 8.037
Ni 2.276 4.947 14.595
Ni 4.891 5.987 11.316
Ni 3.362 2.312 11.316
Ni 0.611 1.364 3.772
Ni 2.276 4.947 8.037
Cu 3.500 4.569 1.626
Cu 4.753 0.894 5.918
Cu 4.753 0.894 1.626
Cu 0.749 6.458 9.170
Cu 2.002 2.782 13.462
Cu 2.002 2.782 9.170
Cu 3.500 4.569 5.918
Cu 0.749 6.458 13.462
```

Summary:
The calculation puts the relative energy among the computed polymorphs at 0.16 eV/f.u. The value obtained for the density of states at the Fermi level is 16.42 states/eV/cell. Its raw total energy is -167.62 eV per cell.

8.
First-principles (PBE) data for a relaxed PmCuNi crystal, as listed in Alexandria.

extended XYZ file:
```
3
Lattice="-3.678 -0.807 2.320 -1.113 -4.162 1.004 0.288 -1.419 4.180" Properties=species:S:1:pos:R:3 pbc="T T T"
Pm -2.252 -3.194 3.752
Ni -1.126 -1.597 1.876
Cu 0.000 0.000 0.000
```

Summary:
The calculation puts the relative energy among the computed polymorphs at 0.64 eV/f.u. The value obtained for the density of states at the Fermi level is 1.67 states/eV/cell. Its raw total energy is -14.81 eV per cell.